Computed, not measured: a relaxed CaMo2Br crystal at the PBE level of DFT.

Values from the calculation:
The calculation puts the final energy at -5.324 eV per atom. For the density of states at the Fermi level, the calculation gives 0.901 states/eV/atom. The value obtained for the calculated density is 6.55 Mg/m³. The value obtained for the volume is 79 Å³/f.u. For the uncorrected formation energy, the calculation gives 1.01 eV per atom.

a = 3.543 Å, b = 4.705 Å, c = 9.483 Å
α = 90.00°, β = 90.00°, γ = 90.00°
Space group Cmmm (No. 65)
Symmetry-distinct sites (fractional):
1 Ca 0.000 0.000 0.000 x2
2 Mo 0.000 0.500 0.275 x4
3 Br 0.000 0.000 0.500 x2


Computed, not measured: a relaxed CdCo crystal at the PBE level of DFT.

Values from the calculation:
For the energy relative to the elements, the calculation gives 0.5 eV per formula unit. The calculation puts the final energy at -3.761 eV per atom. For the density of states at the Fermi level, the calculation gives 1.038 states/eV/atom. The value obtained for the calculated density is 8.93 Mg/m³. The value obtained for the volume is 32 Å³/f.u.

a = 9.426 Å, b = 2.971 Å, c = 7.291 Å
α = 90.00°, β = 110.61°, γ = 90.00°
Space group C2/m (No. 12)
Symmetry-distinct sites (fractional):
1 Cd 0.000 0.000 0.000 x2
2 Cd 0.177 0.500 0.795 x4
3 Co 0.000 0.000 0.500 x2
4 Co 0.158 0.500 0.385 x4


Computed, not measured: a relaxed Y2TlPt crystal at the PBE level of DFT.

Values from the calculation:
For the energy relative to the elements, the calculation gives -2.1 eV per formula unit. The calculation puts the final energy at -5.867 eV per atom. For the density of states at the Fermi level, the calculation gives 0.867 states/eV/atom. The value obtained for the calculated density is 8.91 Mg/m³. The value obtained for the volume is 108 Å³/f.u.

a = 4.100 Å, b = 4.100 Å, c = 6.401 Å
α = 90.00°, β = 90.00°, γ = 90.00°
Space group P4mm (No. 99)
Symmetry-distinct sites (fractional):
1 Y 0.000 0.000 0.000 x1
2 Y 0.500 0.500 0.351 x1
3 Tl 0.500 0.500 0.820 x1
4 Pt 0.000 0.000 0.441 x1


Computed, not measured: a relaxed CuPRu2 crystal at the PBE level of DFT.

Values from the calculation:
For the energy relative to the elements, the calculation gives 0.1 eV per formula unit. The calculation puts the final energy at -6.988 eV per atom. For the density of states at the Fermi level, the calculation gives 0.771 states/eV/atom. The value obtained for the calculated density is 9.47 Mg/m³. The value obtained for the volume is 52 Å³/f.u.

a = 8.869 Å, b = 2.877 Å, c = 4.256 Å
α = 90.00°, β = 106.66°, γ = 90.00°
Space group Cm (No. 8)
Symmetry-distinct sites (fractional):
1 Cu 0.000 0.000 0.000 x2
2 P 0.261 0.500 0.377 x2
3 Ru 0.254 0.000 0.892 x2
4 Ru 0.497 0.000 0.492 x2